[1]
{
  "formula": "SrPd6",
  "functional": "PBE",
  "state": "optimized geometry",
  "e_form_ev_per_atom": 0.675,
  "crystal_system": "cubic",
  "dos_at_fermi_per_ev_atom": 1.396,
  "magmom_total_mub_per_cell": 0.0,
  "e_above_lowest_polymorph_ev_per_atom": 0.9164,
  "lattice": [[-3.5904, 4.8302, 0.7736], [-1.3776, -1.9192, 5.5892], [4.6937, 3.1315, 2.2322]],
  "species": ["Sr", "Pd", "Pd", "Pd", "Pd", "Pd", "Pd"],
  "frac_coords": [[0.0000, 0.0000, 0.0000], [0.1965, 0.5000, 0.5000], [0.5000, 0.5000, 0.8035], [0.5000, 0.5000, 0.1965], [0.5000, 0.1965, 0.5000], [0.5000, 0.8035, 0.5000], [0.8035, 0.5000, 0.5000]]
}

***

[2]
{
  "formula": "SrTaPd2",
  "functional": "PBE",
  "state": "optimized geometry",
  "e_form_ev_per_atom": 0.142,
  "crystal_system": "cubic",
  "dos_at_fermi_per_ev_atom": 1.045,
  "magmom_total_mub_per_cell": 0.0,
  "e_above_lowest_polymorph_ev_per_atom": 0.0000,
  "lattice": [[-2.1739, -3.9319, -1.8389], [-2.4470, -3.0094, 2.9194], [-4.8444, -0.2073, -0.2378]],
  "species": ["Sr", "Pd", "Pd", "Ta"],
  "frac_coords": [[0.0000, 0.0000, 0.0000], [0.2500, 0.2500, 0.2500], [0.7500, 0.7500, 0.7500], [0.5000, 0.5000, 0.5000]]
}

***

[3]
{
  "formula": "SrTaPd2",
  "functional": "PBE",
  "state": "optimized geometry",
  "e_form_ev_per_atom": 0.221,
  "crystal_system": "tetragonal",
  "dos_at_fermi_per_ev_atom": 0.606,
  "magmom_total_mub_per_cell": 1.8,
  "e_above_lowest_polymorph_ev_per_atom": 0.0791,
  "lattice": [[7.6299, 0.0000, 0.0000], [0.0000, 7.6299, 0.0000], [3.8150, 3.8150, 3.2930]],
  "species": ["Sr", "Sr", "Pd", "Pd", "Pd", "Pd", "Ta", "Ta"],
  "frac_coords": [[0.5000, 0.5000, 0.0000], [0.2500, 0.7500, 0.5000], [0.6866, 0.1250, 0.2500], [0.0634, 0.6250, 0.2500], [0.3750, 0.3134, 0.7500], [0.8750, 0.9366, 0.7500], [0.0000, 0.0000, 0.0000], [0.7500, 0.2500, 0.5000]]
}

***

[4]
{
  "formula": "SrTa2Pd",
  "functional": "PBE",
  "state": "optimized geometry",
  "e_form_ev_per_atom": 0.953,
  "crystal_system": "tetragonal",
  "dos_at_fermi_per_ev_atom": 1.451,
  "magmom_total_mub_per_cell": 0.0,
  "e_above_lowest_polymorph_ev_per_atom": 0.0067,
  "lattice": [[4.9941, 0.0000, 0.0000], [0.0000, 4.9941, 0.0000], [2.4970, 2.4970, 9.3916]],
  "species": ["Sr", "Sr", "Pd", "Pd", "Ta", "Ta", "Ta", "Ta"],
  "frac_coords": [[0.5000, 0.5000, 0.0000], [0.2500, 0.7500, 0.5000], [0.0000, 0.0000, 0.0000], [0.7500, 0.2500, 0.5000], [0.8751, 0.1250, 0.2500], [0.8749, 0.6250, 0.2500], [0.3750, 0.1249, 0.7500], [0.8750, 0.1251, 0.7500]]
}

***

[5]
{
  "formula": "Sr2Ta2Pd",
  "functional": "PBE",
  "state": "optimized geometry",
  "e_form_ev_per_atom": 1.408,
  "crystal_system": "tetragonal",
  "dos_at_fermi_per_ev_atom": 0.833,
  "magmom_total_mub_per_cell": 0.0,
  "e_above_lowest_polymorph_ev_per_atom": 0.8317,
  "lattice": [[4.1653, 0.0000, 0.0000], [0.0000, 4.1653, 0.0000], [2.0826, 2.0826, 7.5545]],
  "species": ["Sr", "Sr", "Pd", "Ta", "Ta"],
  "frac_coords": [[0.7500, 0.2500, 0.5000], [0.2500, 0.7500, 0.5000], [0.0000, 0.0000, 0.0000], [0.4252, 0.4252, 0.1496], [0.5748, 0.5748, 0.8504]]
}

***

[6]
{
  "formula": "Sr2TaPd",
  "functional": "PBE",
  "state": "optimized geometry",
  "e_form_ev_per_atom": 0.635,
  "crystal_system": "tetragonal",
  "dos_at_fermi_per_ev_atom": 0.807,
  "magmom_total_mub_per_cell": 4.2,
  "e_above_lowest_polymorph_ev_per_atom": 0.0000,
  "lattice": [[-2.5400, -5.2033, -9.6112], [10.6926, -3.2254, -1.0796], [3.5736, -6.3041, -4.0811]],
  "species": ["Sr", "Sr", "Sr", "Sr", "Pd", "Pd", "Ta", "Ta"],
  "frac_coords": [[0.4677, 0.1250, 0.2500], [0.2823, 0.6250, 0.2500], [0.3750, 0.5323, 0.7500], [0.8750, 0.7177, 0.7500], [0.5000, 0.5000, 0.0000], [0.2500, 0.7500, 0.5000], [0.0000, 0.0000, 0.0000], [0.7500, 0.2500, 0.5000]]
}

***

[7]
{
  "formula": "SrTa2Pd",
  "functional": "PBE",
  "state": "optimized geometry",
  "e_form_ev_per_atom": 0.946,
  "crystal_system": "cubic",
  "dos_at_fermi_per_ev_atom": 1.234,
  "magmom_total_mub_per_cell": 0.0,
  "e_above_lowest_polymorph_ev_per_atom": 0.0000,
  "lattice": [[0.6186, 2.6786, 3.9266], [-3.6887, 0.8157, 2.9503], [-0.0990, -2.0431, 4.3349]],
  "species": ["Sr", "Pd", "Ta", "Ta"],
  "frac_coords": [[0.0000, 0.0000, 0.0000], [0.5000, 0.5000, 0.5000], [0.2500, 0.2500, 0.2500], [0.7500, 0.7500, 0.7500]]
}

***

[8]
{
  "formula": "Sr2TaPd",
  "functional": "PBE",
  "state": "optimized geometry",
  "e_form_ev_per_atom": 0.728,
  "crystal_system": "cubic",
  "dos_at_fermi_per_ev_atom": 0.937,
  "magmom_total_mub_per_cell": 4.4,
  "e_above_lowest_polymorph_ev_per_atom": 0.0928,
  "lattice": [[0.0000, 3.8724, 3.8724], [3.8724, 0.0000, 3.8724], [3.8724, 3.8724, 0.0000]],
  "species": ["Sr", "Sr", "Pd", "Ta"],
  "frac_coords": [[0.2500, 0.2500, 0.2500], [0.7500, 0.7500, 0.7500], [0.0000, 0.0000, 0.0000], [0.5000, 0.5000, 0.5000]]
}

***

[9]
{
  "formula": "SrTa3Pd",
  "functional": "PBE",
  "state": "optimized geometry",
  "e_form_ev_per_atom": 2.925,
  "crystal_system": "cubic",
  "dos_at_fermi_per_ev_atom": 1.766,
  "magmom_total_mub_per_cell": 0.0,
  "e_above_lowest_polymorph_ev_per_atom": 1.6322,
  "lattice": [[4.8040, 0.0000, 0.0000], [0.0000, 4.8040, 0.0000], [0.0000, 0.0000, 4.8040]],
  "species": ["Sr", "Pd", "Ta", "Ta", "Ta"],
  "frac_coords": [[0.0000, 0.0000, 0.0000], [0.5000, 0.5000, 0.5000], [0.0000, 0.5000, 0.0000], [0.0000, 0.0000, 0.5000], [0.5000, 0.0000, 0.0000]]
}

***

[10]
{
  "formula": "Sr2TaPd2",
  "functional": "PBE",
  "state": "optimized geometry",
  "e_form_ev_per_atom": -0.028,
  "crystal_system": "tetragonal",
  "dos_at_fermi_per_ev_atom": 1.440,
  "magmom_total_mub_per_cell": 0.0,
  "lattice": [[7.0132, 0.0000, 0.0000], [0.0000, 7.0132, 0.0000], [0.0000, 0.0000, 5.0487]],
  "species": ["Sr", "Sr", "Sr", "Sr", "Pd", "Pd", "Pd", "Pd", "Ta", "Ta"],
  "frac_coords": [[0.1746, 0.6746, 0.5000], [0.6746, 0.8254, 0.5000], [0.8254, 0.3254, 0.5000], [0.3254, 0.1746, 0.5000], [0.3581, 0.8581, 0.0000], [0.8581, 0.6419, 0.0000], [0.6419, 0.1419, 0.0000], [0.1419, 0.3581, 0.0000], [0.0000, 0.0000, 0.0000], [0.5000, 0.5000, 0.0000]]
}

***

[11]
{
  "formula": "Sr2Ta2Pd",
  "functional": "PBE",
  "state": "optimized geometry",
  "e_form_ev_per_atom": 0.576,
  "crystal_system": "tetragonal",
  "dos_at_fermi_per_ev_atom": 1.277,
  "magmom_total_mub_per_cell": 0.0,
  "e_above_lowest_polymorph_ev_per_atom": 0.0000,
  "lattice": [[-2.5974, 4.2115, -4.7516], [4.6488, -2.2354, -4.5224], [-3.4897, -3.9801, -1.6200]],
  "species": ["Sr", "Sr", "Sr", "Sr", "Pd", "Pd", "Ta", "Ta", "Ta", "Ta"],
  "frac_coords": [[0.1765, 0.6765, 0.5000], [0.6765, 0.8235, 0.5000], [0.8235, 0.3235, 0.5000], [0.3235, 0.1765, 0.5000], [0.0000, 0.0000, 0.0000], [0.5000, 0.5000, 0.0000], [0.3666, 0.8666, 0.0000], [0.8666, 0.6334, 0.0000], [0.6334, 0.1334, 0.0000], [0.1334, 0.3666, 0.0000]]
}

***

[12]
{
  "formula": "SrTa3Pd",
  "functional": "PBE",
  "state": "optimized geometry",
  "e_form_ev_per_atom": 1.293,
  "crystal_system": "cubic",
  "dos_at_fermi_per_ev_atom": 2.496,
  "magmom_total_mub_per_cell": 0.0,
  "e_above_lowest_polymorph_ev_per_atom": 0.0000,
  "lattice": [[-1.1707, 1.1600, -4.7193], [3.4423, -3.2287, -1.6475], [-3.4305, -3.6356, -0.0427]],
  "species": ["Sr", "Pd", "Ta", "Ta", "Ta"],
  "frac_coords": [[0.5000, 0.5000, 0.5000], [0.0000, 0.0000, 0.0000], [0.0000, 0.5000, 0.0000], [0.0000, 0.0000, 0.5000], [0.5000, 0.0000, 0.0000]]
}

***

[13]
{
  "formula": "SrTa2TcPd",
  "functional": "PBE",
  "state": "optimized geometry",
  "e_form_ev_per_atom": 1.614,
  "crystal_system": "tetragonal",
  "dos_at_fermi_per_ev_atom": 1.165,
  "magmom_total_mub_per_cell": 1.4,
  "lattice": [[4.8912, 0.0000, 0.0000], [0.0000, 5.3955, 0.0000], [0.0000, 0.0000, 4.8912]],
  "species": ["Sr", "Tc", "Pd", "Ta", "Ta"],
  "frac_coords": [[0.0000, 0.5000, 0.0000], [0.5000, 0.5000, 0.5000], [0.0000, 0.0000, 0.0000], [0.0000, 0.0000, 0.5000], [0.5000, 0.0000, 0.0000]]
}